[1]
Below is crystalline SiTc2Sb at its relaxed geometry, with properties calculated at the PBE-GGA level.

Formation energy without anion corrections = 0.333 eV/atom
SG = I-4m2 (119)

abc: 5.058 5.058 5.058
angles: 135.27 135.27 65.11
Fractional coordinates of all 4 atoms:
Sb 0.500 0.500 0.000
Si 0.750 0.250 0.500
Tc 0.000 0.000 0.000
Tc 0.250 0.750 0.500

[2]
Below is crystalline SiTc2Sb at its relaxed geometry, with properties calculated at the PBE-GGA level.

Formation energy without anion corrections = 0.047 eV/atom
SG = P2/m (10)

abc: 3.679 3.094 5.945
angles: 71.78 90.00 90.00
Fractional coordinates of all 4 atoms:
Sb 0.500 0.250 0.250
Si 0.500 0.750 0.750
Tc 0.000 0.891 0.973
Tc 0.000 0.609 0.527

[3]
Below is crystalline Si3TcSb at its relaxed geometry, with properties calculated at the PBE-GGA level.

Formation energy without anion corrections = 0.513 eV/atom
SG = Pm-3m (221)

abc: 4.719 4.719 4.719
angles: 90.00 90.00 90.00
Each line ends with the local moment (μB).
Fractional coordinates of all 5 atoms:
Sb 0.500 0.500 0.500  0.17
Si 0.000 0.500 0.000  0.01
Si 0.000 0.000 0.500  0.00
Si 0.500 0.000 0.000  -0.01
Tc 0.000 0.000 0.000  0.45

[4]
Below is crystalline SiTc2Sb at its relaxed geometry, with properties calculated at the PBE-GGA level.

Formation energy without anion corrections = 0.408 eV/atom
SG = F-43m (216)

abc: 4.515 4.515 4.515
angles: 60.00 60.00 60.00
Fractional coordinates of all 4 atoms:
Sb 0.500 0.500 0.500
Si 0.250 0.250 0.250
Tc 0.000 0.000 0.000
Tc 0.750 0.750 0.750

[5]
Below is crystalline SiTc4Sb at its relaxed geometry, with properties calculated at the PBE-GGA level.

Formation energy without anion corrections = 0.507 eV/atom
SG = F-43m (216)

abc: 5.203 5.203 5.203
angles: 60.00 60.00 60.00
Fractional coordinates of all 6 atoms:
Si 0.000 0.000 0.000
Tc 0.876 0.375 0.375
Tc 0.375 0.375 0.876
Tc 0.375 0.876 0.375
Tc 0.375 0.375 0.375
Sb 0.750 0.750 0.750

[6]
Below is crystalline Si4TcSb at its relaxed geometry, with properties calculated at the PBE-GGA level.

Formation energy without anion corrections = 0.653 eV/atom
SG = F-43m (216)

abc: 5.148 5.148 5.148
angles: 60.00 60.00 60.00
Fractional coordinates of all 6 atoms:
Si 0.875 0.375 0.375
Si 0.375 0.375 0.875
Si 0.375 0.875 0.375
Si 0.375 0.375 0.375
Tc 0.750 0.750 0.750
Sb 0.000 0.000 0.000

[7]
Below is crystalline SiTcSb at its relaxed geometry, with properties calculated at the PBE-GGA level.

Formation energy without anion corrections = 0.092 eV/atom
SG = I4mm (107)

abc: 6.212 6.212 6.212
angles: 150.75 150.75 41.84
Fractional coordinates of all 3 atoms:
Sb 0.028 0.028 0.000
Si 0.286 0.286 0.000
Tc 0.687 0.687 0.000

[8]
Below is crystalline SiTcSb3 at its relaxed geometry, with properties calculated at the PBE-GGA level.

Formation energy without anion corrections = 1.230 eV/atom
SG = Pm-3m (221)

abc: 5.109 5.109 5.109
angles: 90.00 90.00 90.00
Each line ends with the local moment (μB).
Fractional coordinates of all 5 atoms:
Sb 0.000 0.500 0.000  -0.11
Sb 0.000 0.000 0.500  -0.11
Sb 0.500 0.000 0.000  -0.06
Si 0.000 0.000 0.000  -0.03
Tc 0.500 0.500 0.500  2.93

[9]
Below is crystalline SiTc2Sb at its relaxed geometry, with properties calculated at the PBE-GGA level.

Formation energy without anion corrections = -0.002 eV/atom
SG = P4mm (99)

abc: 3.277 3.277 6.008
angles: 90.00 90.00 90.00
Fractional coordinates of all 4 atoms:
Sb 0.000 0.000 0.485
Si 0.500 0.500 0.807
Tc 0.000 0.000 0.943
Tc 0.500 0.500 0.265

[10]
Below is crystalline SiTc2Sb at its relaxed geometry, with properties calculated at the PBE-GGA level.

Formation energy without anion corrections = -0.078 eV/atom
SG = P4/mmm (123)

abc: 3.113 3.113 6.327
angles: 90.00 90.00 90.00
Fractional coordinates of all 4 atoms:
Sb 0.500 0.500 0.250
Si 0.500 0.500 0.750
Tc 0.000 0.000 0.975
Tc 0.000 0.000 0.525

[11]
Below is crystalline SiTcSb3 at its relaxed geometry, with properties calculated at the PBE-GGA level.

Formation energy without anion corrections = 0.765 eV/atom
SG = Pm-3m (221)

abc: 5.127 5.127 5.127
angles: 90.00 90.00 90.00
Fractional coordinates of all 5 atoms:
Sb 0.000 0.500 0.000
Sb 0.000 0.000 0.500
Sb 0.500 0.000 0.000
Si 0.500 0.500 0.500
Tc 0.000 0.000 0.000

[12]
Below is crystalline SiTc2Sb at its relaxed geometry, with properties calculated at the PBE-GGA level.

Formation energy without anion corrections = -0.030 eV/atom
SG = Cm (8)

abc: 4.774 4.774 4.741
angles: 73.36 73.36 38.41
Fractional coordinates of all 4 atoms:
Sb 0.501 0.501 0.545
Si 0.262 0.262 0.144
Tc 0.991 0.991 0.084
Tc 0.746 0.746 0.727

Copy entry 11 word for word.
Below is crystalline SiTcSb3 at its relaxed geometry, with properties calculated at the PBE-GGA level.

Formation energy without anion corrections = 0.765 eV/atom
SG = Pm-3m (221)

abc: 5.127 5.127 5.127
angles: 90.00 90.00 90.00
Fractional coordinates of all 5 atoms:
Sb 0.000 0.500 0.000
Sb 0.000 0.000 0.500
Sb 0.500 0.000 0.000
Si 0.500 0.500 0.500
Tc 0.000 0.000 0.000

Q: Which of these has the highest formation energy without anion corrections?
A: number 8